Record 1
The following is a DFT calculation (PBE) of a relaxed B4C crystal. Values from VASP.

Values from the calculation:
density of states at the Fermi level: 1.671 states/eV per cell
formation enthalpy at 0 K: 56.7 kJ per mole of atoms
M_tot: 0.00 μB per formula unit
polymorph energy (0 for the lowest one): 690 meV/atom

Geometry as Quantum ESPRESSO input:
```
&SYSTEM
  ibrav = 0, nat = 10, ntyp = 2
/
ATOMIC_SPECIES
B 10.81 B.upf
C 12.01 C.upf
ATOMIC_POSITIONS crystal
B 0.000 0.000 0.000
B 0.045 0.045 0.045
B 0.187 0.187 0.187
B 0.402 0.402 0.402
B 0.566 0.566 0.566
B 0.663 0.663 0.663
B 0.782 0.782 0.782
B 0.832 0.832 0.832
C 0.230 0.230 0.230
C 0.446 0.446 0.446
CELL_PARAMETERS angstrom
1.387 0.801 12.522
-1.387 0.801 12.522
0.000 -1.602 12.522
```

=====

Record 2
The following is a DFT calculation (PBE) of a relaxed CsRbCu3 crystal. Values from VASP.

Values from the calculation:
density of states at the Fermi level: 7.612 states/eV per cell
formation enthalpy at 0 K: 105.7 kJ per mole of atoms
M_tot: 0.00 μB per formula unit
polymorph energy (0 for the lowest one): 0 meV/atom

Geometry as Quantum ESPRESSO input:
```
&SYSTEM
  ibrav = 0, nat = 5, ntyp = 3
/
ATOMIC_SPECIES
Cs 132.91 Cs.upf
Rb 85.47 Rb.upf
Cu 63.55 Cu.upf
ATOMIC_POSITIONS crystal
Cs 0.000 0.000 0.000
Rb 0.500 0.500 0.500
Cu 0.000 0.500 0.500
Cu 0.500 0.000 0.500
Cu 0.500 0.500 0.000
CELL_PARAMETERS angstrom
6.208 0.000 0.000
0.000 6.208 0.000
0.000 0.000 6.208
```

=====

Record 3
The following is a DFT calculation (PBE) of a relaxed TiAl3Br crystal. Values from VASP.

Values from the calculation:
ΔE_f (raw): 1047.0 meV per atom
density of states at the Fermi level: 3.177 states/eV per cell
M_tot: 0.01 μB per formula unit
polymorph energy (0 for the lowest one): 328 meV/atom

Geometry as Quantum ESPRESSO input:
```
&SYSTEM
  ibrav = 0, nat = 5, ntyp = 3
/
ATOMIC_SPECIES
Ti 47.87 Ti.upf
Al 26.98 Al.upf
Br 79.90 Br.upf
ATOMIC_POSITIONS crystal
Ti 0.000 0.000 0.000
Al 0.000 0.500 0.500
Al 0.500 0.000 0.500
Al 0.500 0.500 0.000
Br 0.500 0.500 0.500
CELL_PARAMETERS angstrom
4.919 0.000 0.000
0.000 4.919 0.000
0.000 0.000 4.919
```

=====

Record 4
The following is a DFT calculation (PBE) of a relaxed ScCr2Fe crystal. Values from VASP.

Values from the calculation:
density of states at the Fermi level: 14.440 states/eV per cell
formation enthalpy at 0 K: 39.8 kJ per mole of atoms
M_tot: 1.69 μB per formula unit
polymorph energy (0 for the lowest one): 259 meV/atom

Geometry as Quantum ESPRESSO input:
```
&SYSTEM
  ibrav = 0, nat = 12, ntyp = 3
/
ATOMIC_SPECIES
Sc 44.96 Sc.upf
Cr 52.00 Cr.upf
Fe 55.84 Fe.upf
ATOMIC_POSITIONS crystal
Sc 0.000 0.000 0.000
Sc 0.333 0.667 0.667
Sc 0.667 0.333 0.333
Cr 0.000 0.000 0.237
Cr 0.000 0.000 0.502
Cr 0.333 0.667 0.169
Cr 0.333 0.667 0.903
Cr 0.667 0.333 0.570
Cr 0.667 0.333 0.835
Fe 0.000 0.000 0.759
Fe 0.333 0.667 0.426
Fe 0.667 0.333 0.092
CELL_PARAMETERS angstrom
2.848 0.000 0.000
-1.424 2.466 0.000
0.000 0.000 24.147
```

=====

The lowest density of states at the Fermi level belongs to which entry?
B4C